[1]
{"formula": "HfTa5Mo6", "functional": "PBE-GGA", "state": "relaxed", "lattice": [[-2.300, 3.243, 6.862], [2.300, -3.243, 6.862], [2.300, 3.243, -6.862]], "species": ["Hf", "Ta", "Ta", "Ta", "Ta", "Ta", "Mo", "Mo", "Mo", "Mo", "Mo", "Mo"], "fractional_positions": [[0.000, 0.000, 0.000], [0.167, 0.667, 0.500], [0.333, 0.333, 0.000], [0.500, 0.000, 0.500], [0.667, 0.667, 0.000], [0.833, 0.333, 0.500], [0.084, 0.831, 0.252], [0.255, 0.500, 0.755], [0.421, 0.169, 0.252], [0.579, 0.831, 0.748], [0.745, 0.500, 0.245], [0.916, 0.169, 0.748]], "dos_ef_per_ev_atom": 1.017, "final_energy_ev_per_cell": -136.169, "spacegroup": "No. 71"}

=====

[2]
{"formula": "HfTa2Mo3", "functional": "PBE-GGA", "state": "relaxed", "lattice": [[3.248, 0.000, 0.000], [0.000, 3.248, 0.000], [0.000, 0.000, 9.846]], "species": ["Hf", "Ta", "Ta", "Mo", "Mo", "Mo"], "fractional_positions": [[0.000, 0.000, 0.000], [0.000, 0.000, 0.335], [0.000, 0.000, 0.665], [0.500, 0.500, 0.176], [0.500, 0.500, 0.500], [0.500, 0.500, 0.824]], "dos_ef_per_ev_atom": 1.096, "final_energy_ev_per_cell": -66.957, "spacegroup": "No. 123"}

=====

[3]
{"formula": "HfTaMo4", "functional": "PBE-GGA", "state": "relaxed", "lattice": [[4.544, 0.000, 0.000], [0.000, 9.852, 0.000], [0.000, 0.000, 4.541]], "species": ["Hf", "Hf", "Ta", "Ta", "Mo", "Mo", "Mo", "Mo", "Mo", "Mo", "Mo", "Mo"], "fractional_positions": [[0.000, 0.000, 0.000], [0.500, 0.500, 0.000], [0.000, 0.500, 0.500], [0.500, 0.000, 0.500], [0.000, 0.174, 0.500], [0.000, 0.325, 0.000], [0.000, 0.675, 0.000], [0.000, 0.826, 0.500], [0.500, 0.175, 0.000], [0.500, 0.326, 0.500], [0.500, 0.674, 0.500], [0.500, 0.825, 0.000]], "dos_ef_per_ev_atom": 0.615, "spacegroup": "No. 65", "relative_energy_kj_per_mol_atoms": 0.0}

=====

[4]
{"formula": "HfTa2Mo", "functional": "PBE-GGA", "state": "relaxed", "lattice": [[3.255, 0.000, 0.000], [0.000, 3.255, 0.000], [0.000, 0.000, 6.977]], "species": ["Hf", "Ta", "Ta", "Mo"], "fractional_positions": [[0.000, 0.000, 0.000], [0.500, 0.500, 0.277], [0.500, 0.500, 0.723], [0.000, 0.000, 0.500]], "dos_ef_per_ev_atom": 1.355, "spacegroup": "No. 123", "relative_energy_kj_per_mol_atoms": 3.7}

=====

[5]
{"formula": "HfTaMo4", "functional": "PBE-GGA", "state": "relaxed", "lattice": [[0.000, 3.758, 3.758], [3.758, 0.000, 3.758], [3.758, 3.758, 0.000]], "species": ["Hf", "Ta", "Mo", "Mo", "Mo", "Mo"], "fractional_positions": [[0.000, 0.000, 0.000], [0.750, 0.750, 0.750], [0.375, 0.375, 0.375], [0.375, 0.375, 0.875], [0.375, 0.875, 0.375], [0.875, 0.375, 0.375]], "dos_ef_per_ev_atom": 0.750, "spacegroup": "No. 216", "relative_energy_kj_per_mol_atoms": 7.4}

=====

[6]
{"formula": "HfTa4Mo", "functional": "PBE-GGA", "state": "relaxed", "lattice": [[10.423, 0.000, 0.000], [0.000, 3.271, 0.000], [-2.190, 0.000, 6.468]], "species": ["Hf", "Hf", "Ta", "Ta", "Ta", "Ta", "Ta", "Ta", "Ta", "Ta", "Mo", "Mo"], "fractional_positions": [[0.000, 0.000, 0.000], [0.500, 0.500, 0.000], [0.160, 0.500, 0.348], [0.171, 0.500, 0.821], [0.329, 0.000, 0.179], [0.340, 0.000, 0.652], [0.660, 0.000, 0.348], [0.671, 0.000, 0.821], [0.829, 0.500, 0.179], [0.840, 0.500, 0.652], [0.000, 0.000, 0.500], [0.500, 0.500, 0.500]], "dos_ef_per_ev_atom": 1.280, "final_energy_ev_per_cell": -136.400, "spacegroup": "No. 12"}

=====

[7]
{"formula": "HfTa2Mo", "functional": "PBE-GGA", "state": "relaxed", "lattice": [[6.630, 0.000, 0.000], [0.000, 6.630, 0.000], [0.000, 0.000, 6.630]], "species": ["Hf", "Hf", "Hf", "Hf", "Ta", "Ta", "Ta", "Ta", "Ta", "Ta", "Ta", "Ta", "Mo", "Mo", "Mo", "Mo"], "fractional_positions": [[0.000, 0.000, 0.000], [0.000, 0.500, 0.500], [0.500, 0.000, 0.500], [0.500, 0.500, 0.000], [0.250, 0.250, 0.250], [0.250, 0.250, 0.750], [0.250, 0.750, 0.250], [0.250, 0.750, 0.750], [0.750, 0.250, 0.250], [0.750, 0.250, 0.750], [0.750, 0.750, 0.250], [0.750, 0.750, 0.750], [0.000, 0.000, 0.500], [0.000, 0.500, 0.000], [0.500, 0.000, 0.000], [0.500, 0.500, 0.500]], "dos_ef_per_ev_atom": 1.454, "spacegroup": "No. 225", "relative_energy_kj_per_mol_atoms": 11.5}

=====

[8]
{"formula": "HfTaTcMo", "functional": "PBE-GGA", "state": "relaxed", "lattice": [[3.238, 0.000, 0.000], [0.000, 3.238, 0.000], [0.000, 0.000, 6.547]], "species": ["Hf", "Ta", "Tc", "Mo"], "fractional_positions": [[0.000, 0.000, 0.000], [0.000, 0.000, 0.508], [0.500, 0.500, 0.745], [0.500, 0.500, 0.262]], "dos_ef_per_ev_atom": 0.721, "spacegroup": "No. 99", "relative_energy_kj_per_mol_atoms": 0.0}

=====

| no. | M_tot (μB/f.u.) |
| --- | --- |
| 1 | 0.00 |
| 2 | 0.00 |
| 3 | 0.00 |
| 4 | 0.00 |
| 5 | 0.00 |
| 6 | 0.00 |
| 7 | 0.00 |
| 8 | 0.00 |